Record 1
Compound: CsTa3Si
Source: Alexandria via LeMat-Bulk
Functional: PBE
Structure: optimized geometry

Cell lengths 5.0203, 5.0203, 5.0203 Å; angles 90.00, 90.00, 90.00 degrees
Last column: nearest neighbours and their distance in Å.
Fractional coordinates of all 5 atoms:
1 Ta 0.5000 0.0000 0.0000  2 Cs 2.51
2 Ta 0.0000 0.5000 0.0000  2 Cs 2.51
3 Si 0.5000 0.5000 0.5000  12 Ta 3.55
4 Ta 0.0000 0.0000 0.5000  2 Cs 2.51
5 Cs 0.0000 0.0000 0.0000  6 Ta 2.51

Properties
* polymorph energy (0 for the lowest one): 872 kJ/mol of formula units
* total magnetization: 0.0 μB per cell
* E_tot: -25.0 eV/cell
* SG: No. 221

Record 2
Compound: CsTaSi3
Source: Alexandria via LeMat-Bulk
Functional: PBE
Structure: optimized geometry

Cell lengths 5.1173, 5.1173, 5.1173 Å; angles 90.00, 90.00, 90.00 degrees
Last column: nearest neighbours and their distance in Å.
Fractional coordinates of all 5 atoms:
1 Si 0.5000 0.0000 0.0000  2 Cs 2.56
2 Ta 0.5000 0.5000 0.5000  12 Si 3.62
3 Cs 0.0000 0.0000 0.0000  6 Si 2.56
4 Si 0.0000 0.5000 0.0000  2 Cs 2.56
5 Si 0.0000 0.0000 0.5000  2 Cs 2.56

Properties
* polymorph energy (0 for the lowest one): 1251 kJ/mol of formula units
* total magnetization: 0.0 μB per cell
* E_tot: -14.5 eV/cell
* SG: No. 221

Record 3
Compound: CsTaSi2
Source: Alexandria via LeMat-Bulk
Functional: PBE
Structure: optimized geometry

Cell lengths 4.9755, 4.9755, 4.9755 Å; angles 60.00, 60.00, 60.00 degrees
Last column: nearest neighbours and their distance in Å.
Fractional coordinates of all 4 atoms:
1 Si 0.2500 0.2500 0.2500  4 Ta 3.05, 4 Cs 3.05
2 Si 0.7500 0.7500 0.7500  4 Ta 3.05, 4 Cs 3.05
3 Cs 0.0000 0.0000 0.0000  8 Si 3.05
4 Ta 0.5000 0.5000 0.5000  8 Si 3.05

Properties
* polymorph energy (0 for the lowest one): 286 kJ/mol of formula units
* total magnetization: 0.0 μB per cell
* E_tot: -18.3 eV/cell
* SG: No. 225

Record 4
Compound: CsTa3Si
Source: Alexandria via LeMat-Bulk
Functional: PBE
Structure: optimized geometry

Cell lengths 4.8986, 4.8986, 4.8986 Å; angles 90.00, 90.00, 90.00 degrees
Last column: nearest neighbours and their distance in Å.
Fractional coordinates of all 5 atoms:
1 Ta 0.0000 0.5000 0.0000  2 Si 2.45
2 Ta 0.0000 0.0000 0.5000  2 Si 2.45
3 Cs 0.5000 0.5000 0.5000  12 Ta 3.46
4 Si 0.0000 0.0000 0.0000  6 Ta 2.45
5 Ta 0.5000 0.0000 0.0000  2 Si 2.45

Properties
* polymorph energy (0 for the lowest one): 0 kJ/mol of formula units
* total magnetization: 0.0 μB per cell
* E_tot: -34.1 eV/cell
* SG: No. 221

Record 5
Compound: Cs3TaSi
Source: Alexandria via LeMat-Bulk
Functional: PBE
Structure: optimized geometry

Cell lengths 7.0506, 7.0506, 7.0506 Å; angles 90.00, 90.00, 90.00 degrees
Last column: nearest neighbours and their distance in Å.
Fractional coordinates of all 5 atoms:
1 Cs 0.0000 0.0000 0.5000  2 Ta 3.53
2 Cs 0.0000 0.5000 0.0000  2 Ta 3.53
3 Cs 0.5000 0.0000 0.0000  2 Ta 3.53
4 Si 0.5000 0.5000 0.5000  12 Cs 4.99
5 Ta 0.0000 0.0000 0.0000  6 Cs 3.53

Properties
* total magnetization: 7.7 μB per cell
* E_tot: -11.4 eV/cell
* SG: No. 221

Record 6
Compound: CsTaSi2
Source: Alexandria via LeMat-Bulk
Functional: PBE
Structure: optimized geometry

Cell lengths 6.3330, 6.3330, 8.8057 Å; angles 68.92, 68.92, 90.00 degrees
Last column: nearest neighbours and their distance in Å.
Fractional coordinates of all 8 atoms:
1 Ta 0.0000 0.0000 0.0000  4 Si 2.47
2 Si 0.3750 0.1244 0.7500  2 Ta 2.47
3 Si 0.8744 0.6250 0.2500  2 Ta 2.47
4 Si 0.8750 0.1256 0.7500  2 Ta 2.47
5 Si 0.8756 0.1250 0.2500  2 Ta 2.47
6 Ta 0.7500 0.2500 0.5000  4 Si 2.47
7 Cs 0.5000 0.5000 0.0000  8 Si 4.01-4.02, 4 Ta 4.48
8 Cs 0.2500 0.7500 0.5000  8 Si 4.01-4.02, 4 Ta 4.48

Properties
* polymorph energy (0 for the lowest one): 0 kJ/mol of formula units
* total magnetization: 0.0 μB per cell
* E_tot: -42.6 eV/cell
* SG: No. 141

Record 7
Compound: CsTaSi3
Source: Alexandria via LeMat-Bulk
Functional: PBE
Structure: optimized geometry

Cell lengths 5.0471, 5.0471, 5.0471 Å; angles 90.00, 90.00, 90.00 degrees
Last column: nearest neighbours and their distance in Å.
Fractional coordinates of all 5 atoms:
1 Si 0.5000 0.0000 0.0000  2 Ta 2.52
2 Si 0.0000 0.5000 0.0000  2 Ta 2.52
3 Si 0.0000 0.0000 0.5000  2 Ta 2.52
4 Ta 0.0000 0.0000 0.0000  6 Si 2.52
5 Cs 0.5000 0.5000 0.5000  12 Si 3.57

Properties
* polymorph energy (0 for the lowest one): 0 kJ/mol of formula units
* total magnetization: 0.0 μB per cell
* E_tot: -27.5 eV/cell
* SG: No. 221

Record 8
Compound: CsTaSiTe6
Source: Alexandria via LeMat-Bulk
Functional: PBE
Structure: optimized geometry

Cell lengths 6.7201, 6.7201, 9.5569 Å; angles 90.00, 90.00, 60.00 degrees
Last column: nearest neighbours and their distance in Å.
Fractional coordinates of all 9 atoms:
1 Ta 0.6666 0.6667 0.5000  6 Te 2.76
2 Te 0.0050 0.6479 0.6723  1 Si 2.72, 1 Ta 2.76
3 Te 0.3470 0.0051 0.6723  1 Si 2.72, 1 Ta 2.76
4 Te 0.6478 0.0051 0.3277  1 Si 2.72, 1 Ta 2.76
5 Cs 0.0000 0.0000 0.0000  6 Te 3.91-3.92
6 Te 0.6478 0.3471 0.6723  1 Si 2.72, 1 Ta 2.76
7 Te 0.3470 0.6479 0.3277  1 Si 2.72, 1 Ta 2.76
8 Si 0.3333 0.3333 0.5000  6 Te 2.72
9 Te 0.0051 0.3470 0.3277  1 Si 2.72, 1 Ta 2.76

Properties
* total magnetization: 0.0 μB per cell
* E_tot: -38.6 eV/cell
* SG: No. 149

Record 9
Compound: CsYTaSi2
Source: Alexandria via LeMat-Bulk
Functional: PBE
Structure: optimized geometry

Cell lengths 5.3184, 5.1569, 5.3184 Å; angles 90.00, 90.00, 90.00 degrees
Last column: nearest neighbours and their distance in Å.
Fractional coordinates of all 5 atoms:
1 Si 0.0000 0.0000 0.5000  2 Cs 2.66
2 Cs 0.0000 0.0000 0.0000  2 Ta 2.58, 4 Si 2.66
3 Ta 0.0000 0.5000 0.0000  2 Cs 2.58
4 Si 0.5000 0.0000 0.0000  2 Cs 2.66
5 Y 0.5000 0.5000 0.5000  8 Si 3.70, 4 Ta 3.76

Properties
* total magnetization: 0.2 μB per cell
* E_tot: -18.7 eV/cell
* SG: No. 123

Record 10
Compound: CsSi2Tc
Source: Alexandria via LeMat-Bulk
Functional: PBE
Structure: optimized geometry

Cell lengths 6.5950, 6.5950, 7.8163 Å; angles 65.05, 65.05, 90.00 degrees
Last column: nearest neighbours and their distance in Å.
Fractional coordinates of all 8 atoms:
1 Si 0.8750 0.6250 0.7500  2 Tc 2.28
2 Si 0.3750 0.1250 0.2500  2 Tc 2.28
3 Cs 0.0000 0.0000 0.0000  8 Si 4.01
4 Tc 0.2500 0.7500 0.5000  4 Si 2.28
5 Cs 0.7500 0.2500 0.5000  8 Si 4.01
6 Si 0.3750 0.6250 0.7500  2 Tc 2.28
7 Tc 0.5000 0.5000 0.0000  4 Si 2.28
8 Si 0.3750 0.6250 0.2500  2 Tc 2.28

Properties
* total magnetization: 0.0 μB per cell
* E_tot: -42.9 eV/cell
* SG: No. 141

Record 11
Compound: CsSi2Tc2
Source: Alexandria via LeMat-Bulk
Functional: PBE
Structure: optimized geometry

Cell lengths 4.2183, 4.2183, 6.2491 Å; angles 70.27, 70.27, 90.00 degrees
Last column: nearest neighbours and their distance in Å.
Fractional coordinates of all 5 atoms:
1 Cs 0.0000 0.0000 0.0000  8 Tc 3.29, 8 Si 3.46
2 Si 0.2500 0.7500 0.5000  4 Tc 2.50
3 Tc 0.3730 0.3730 0.2540  4 Si 2.50, 1 Tc 2.79
4 Si 0.7500 0.2500 0.5000  4 Tc 2.50
5 Tc 0.6270 0.6270 0.7460  4 Si 2.50, 1 Tc 2.79

Properties
* total magnetization: 0.0 μB per cell
* E_tot: -29.5 eV/cell
* SG: No. 139

Record 12
Compound: Cs3SiTc
Source: Alexandria via LeMat-Bulk
Functional: PBE
Structure: optimized geometry

Cell lengths 5.9394, 5.9394, 5.9394 Å; angles 90.00, 90.00, 90.00 degrees
Last column: nearest neighbours and their distance in Å.
Fractional coordinates of all 5 atoms:
1 Si 0.5000 0.5000 0.5000  12 Cs 4.20
2 Cs 0.0000 0.5000 0.0000  2 Tc 2.97
3 Cs 0.5000 0.0000 0.0000  2 Tc 2.97
4 Tc 0.0000 0.0000 0.0000  6 Cs 2.97
5 Cs 0.0000 0.0000 0.5000  2 Tc 2.97

Properties
* total magnetization: 3.4 μB per cell
* E_tot: -11.1 eV/cell
* SG: No. 221

Sequential formation energy without anion corrections output: 16.79, 14.48, 5.21, 7.76, 8.41, 2.24, 1.52, -1.61, 11.36, 0.62, 2.92, 7.21 eV per formula unit